VASP calculation (PBE) on crystalline CaPmAs at its relaxed geometry.

Lattice parameters (Å, degrees): 4.951 4.951 4.951 60.00 60.00 60.00
Atoms (fractional coordinates):
As 0.250 0.250 0.250
Pm 0.000 0.000 0.000
Ca 0.500 0.500 0.500

Values from the calculation:
* ΔE to the lowest computed polymorph: 111 meV/atom
* space-group type: F-43m (216)
* volume: 86 Å³/f.u.
* E_tot: -4.594 eV/atom
* energy of formation: -76.5 kJ/mol of atoms